No. 1
PBEsol In2AsIr, relaxed; Fermi-level density of states = 0.326 states/eV per atom; spin magnetization = 0.00 Bohr magnetons per cell; symmetry = Amm2 (38); volume = 77.9 Å³ per cell; formation energy = -0.070 eV/atom
1.0
-2.554 -0.828 -2.913
0.604 -3.997 0.607
-2.332 0.353 4.637
As In Ir
1 2 1
direct
0.670 0.500 0.340
0.390 0.500 0.780
0.099 0.000 0.198
0.817 0.000 0.634


No. 2
PBEsol InAsIr2, relaxed; Fermi-level density of states = 0.491 states/eV per atom; spin magnetization = 0.00 Bohr magnetons per cell; symmetry = Pmmm (47); volume = 63.2 Å³ per cell; formation energy = 0.093 eV/atom; energy relative to the lowest polymorph listed for this composition = 0.0 meV per atom
1.0
-2.540 -0.836 -1.355
-0.922 -1.805 2.842
-2.783 4.887 2.201
In As Ir
1 1 2
direct
0.500 0.500 0.500
0.500 0.500 0.000
0.000 0.000 0.765
0.000 0.000 0.235


No. 3
PBEsol KIn2As, relaxed; Fermi-level density of states = 0.443 states/eV per atom; spin magnetization = 0.00 Bohr magnetons per cell; symmetry = Imm2 (44); volume = 110.8 Å³ per cell; formation energy = -0.043 eV/atom
1.0
-3.691 -1.505 -1.366
2.342 -4.941 -0.884
-0.428 1.909 5.550
As K In
1 1 2
direct
0.716 0.216 0.432
0.478 0.478 0.956
0.270 0.770 0.540
0.036 0.036 0.072